No. 1
{
  "formula": "Sm2Dy2Tm2In",
  "functional": "PBE-GGA",
  "state": "relaxed",
  "cell": [[5.845, -1.758, 0.000], [5.845, 1.758, 0.000], [-4.461, 0.000, 10.615]],
  "species": ["Sm", "Sm", "Dy", "Dy", "Tm", "Tm", "In"],
  "frac_coords": [[0.030, 0.030, 0.255], [0.970, 0.970, 0.745], [0.175, 0.175, 0.586], [0.825, 0.825, 0.414], [0.249, 0.249, 0.131], [0.751, 0.751, 0.869], [0.500, 0.500, 0.000]]
}

***

No. 2
{
  "formula": "Sm2DyTmIn2",
  "functional": "PBE-GGA",
  "state": "relaxed",
  "cell": [[5.211, 0.000, 0.000], [0.000, 9.907, 0.000], [0.000, 0.000, 6.762]],
  "species": ["Sm", "Sm", "Sm", "Sm", "Dy", "Dy", "Tm", "Tm", "In", "In", "In", "In"],
  "frac_coords": [[0.000, 0.039, 0.000], [0.000, 0.961, 0.500], [0.500, 0.182, 0.279], [0.500, 0.818, 0.779], [0.500, 0.462, 0.928], [0.500, 0.538, 0.428], [0.000, 0.320, 0.650], [0.000, 0.680, 0.150], [0.000, 0.364, 0.177], [0.000, 0.636, 0.677], [0.500, 0.149, 0.754], [0.500, 0.851, 0.254]]
}

***

No. 3
{
  "formula": "SmDyTm2In4",
  "functional": "PBE-GGA",
  "state": "relaxed",
  "cell": [[2.655, 1.533, 8.696], [-2.655, 1.533, 8.696], [0.000, -3.066, 8.696]],
  "species": ["Sm", "Dy", "Tm", "Tm", "In", "In", "In", "In"],
  "frac_coords": [[0.000, 0.000, 0.000], [0.500, 0.500, 0.500], [0.250, 0.250, 0.250], [0.750, 0.750, 0.750], [0.126, 0.126, 0.126], [0.376, 0.376, 0.376], [0.624, 0.624, 0.624], [0.874, 0.874, 0.874]]
}

***

No. 4
{
  "formula": "SmDy2TmIn4",
  "functional": "PBE-GGA",
  "state": "relaxed",
  "cell": [[2.661, 1.536, 8.721], [-2.661, 1.536, 8.721], [0.000, -3.072, 8.721]],
  "species": ["Sm", "Dy", "Dy", "Tm", "In", "In", "In", "In"],
  "frac_coords": [[0.000, 0.000, 0.000], [0.249, 0.249, 0.249], [0.751, 0.751, 0.751], [0.500, 0.500, 0.500], [0.126, 0.126, 0.126], [0.376, 0.376, 0.376], [0.624, 0.624, 0.624], [0.874, 0.874, 0.874]]
}

***

No. 5
{
  "formula": "Sm2Dy6Tm3In",
  "functional": "PBE-GGA",
  "state": "relaxed",
  "cell": [[3.032, -5.255, 0.000], [3.032, 5.255, 0.000], [-2.025, 0.000, 11.471]],
  "species": ["Sm", "Sm", "Dy", "Dy", "Dy", "Dy", "Dy", "Dy", "Tm", "Tm", "Tm", "In"],
  "frac_coords": [[0.166, 0.834, 0.000], [0.834, 0.166, 0.000], [0.089, 0.417, 0.749], [0.256, 0.256, 0.252], [0.417, 0.089, 0.749], [0.583, 0.911, 0.251], [0.744, 0.744, 0.748], [0.911, 0.583, 0.251], [0.000, 0.000, 0.500], [0.333, 0.667, 0.500], [0.667, 0.333, 0.500], [0.500, 0.500, 0.000]]
}

***

No. 6
{
  "formula": "Sm3Dy6Y2In",
  "functional": "PBE-GGA",
  "state": "relaxed",
  "cell": [[3.063, -5.307, 0.000], [3.063, 5.307, 0.000], [-2.053, 0.000, 11.511]],
  "species": ["Sm", "Sm", "Sm", "Dy", "Dy", "Dy", "Dy", "Dy", "Dy", "Y", "Y", "In"],
  "frac_coords": [[0.000, 0.000, 0.000], [0.333, 0.667, 0.000], [0.667, 0.333, 0.000], [0.091, 0.419, 0.255], [0.254, 0.254, 0.747], [0.419, 0.091, 0.255], [0.581, 0.909, 0.745], [0.746, 0.746, 0.253], [0.909, 0.581, 0.745], [0.166, 0.834, 0.500], [0.834, 0.166, 0.500], [0.500, 0.500, 0.500]]
}

***

No. 7
{
  "formula": "Sm3Dy2Y6In",
  "functional": "PBE-GGA",
  "state": "relaxed",
  "cell": [[3.075, -5.328, 0.000], [3.075, 5.328, 0.000], [-2.058, 0.000, 11.514]],
  "species": ["Sm", "Sm", "Sm", "Dy", "Dy", "Y", "Y", "Y", "Y", "Y", "Y", "In"],
  "frac_coords": [[0.000, 0.000, 0.000], [0.333, 0.667, 0.000], [0.667, 0.333, 0.000], [0.166, 0.834, 0.500], [0.834, 0.166, 0.500], [0.092, 0.419, 0.256], [0.254, 0.254, 0.745], [0.419, 0.092, 0.256], [0.581, 0.908, 0.744], [0.746, 0.746, 0.255], [0.908, 0.581, 0.744], [0.500, 0.500, 0.500]]
}

***

No. 8
{
  "formula": "Sm6Dy3Y2In",
  "functional": "PBE-GGA",
  "state": "relaxed",
  "cell": [[3.078, -5.344, 0.000], [3.078, 5.344, 0.000], [-2.076, 0.000, 11.586]],
  "species": ["Sm", "Sm", "Sm", "Sm", "Sm", "Sm", "Dy", "Dy", "Dy", "Y", "Y", "In"],
  "frac_coords": [[0.082, 0.410, 0.748], [0.244, 0.244, 0.250], [0.410, 0.082, 0.748], [0.590, 0.918, 0.252], [0.756, 0.756, 0.750], [0.918, 0.590, 0.252], [0.168, 0.832, 0.000], [0.500, 0.500, 0.000], [0.832, 0.168, 0.000], [0.334, 0.666, 0.500], [0.666, 0.334, 0.500], [0.000, 0.000, 0.500]]
}

***

No. 9
{
  "formula": "SmDyYIn",
  "functional": "PBE-GGA",
  "state": "relaxed",
  "cell": [[4.854, 0.000, 0.000], [0.000, 4.870, 0.000], [0.000, 0.000, 4.921]],
  "species": ["Sm", "Dy", "Y", "In"],
  "frac_coords": [[0.000, 0.000, 0.000], [0.500, 0.500, 0.000], [0.500, 0.000, 0.500], [0.000, 0.500, 0.500]],
  "e_above_lowest_polymorph_mev_per_atom": 0
}

***

No. 10
{
  "formula": "SmDyYIn",
  "functional": "PBE-GGA",
  "state": "relaxed",
  "cell": [[0.000, 3.882, 3.882], [3.882, 0.000, 3.882], [3.882, 3.882, 0.000]],
  "species": ["Sm", "Dy", "Y", "In"],
  "frac_coords": [[0.000, 0.000, 0.000], [0.750, 0.750, 0.750], [0.500, 0.500, 0.500], [0.250, 0.250, 0.250]],
  "e_above_lowest_polymorph_mev_per_atom": 128
}

***

No. 11
{
  "formula": "SmDy2Zn2In2",
  "functional": "PBE-GGA",
  "state": "relaxed",
  "cell": [[2.362, 1.363, 9.135], [-2.362, 1.363, 9.135], [0.000, -2.727, 9.135]],
  "species": ["Sm", "Dy", "Dy", "Zn", "Zn", "In", "In"],
  "frac_coords": [[0.000, 0.000, 0.000], [0.128, 0.128, 0.128], [0.872, 0.872, 0.872], [0.402, 0.402, 0.402], [0.598, 0.598, 0.598], [0.261, 0.261, 0.261], [0.739, 0.739, 0.739]]
}

***

No. 12
{
  "formula": "SmDyZnIn",
  "functional": "PBE-GGA",
  "state": "relaxed",
  "cell": [[0.000, 3.717, 3.717], [3.717, 0.000, 3.717], [3.717, 3.717, 0.000]],
  "species": ["Sm", "Dy", "Zn", "In"],
  "frac_coords": [[0.000, 0.000, 0.000], [0.500, 0.500, 0.500], [0.750, 0.750, 0.750], [0.250, 0.250, 0.250]],
  "e_above_lowest_polymorph_mev_per_atom": 22
}

***

No. 13
{
  "formula": "SmDyZnIn",
  "functional": "PBE-GGA",
  "state": "relaxed",
  "cell": [[3.674, 0.000, 0.000], [0.000, 3.674, 0.000], [0.000, 0.000, 7.524]],
  "species": ["Sm", "Dy", "Zn", "In"],
  "frac_coords": [[0.000, 0.000, 0.000], [0.000, 0.000, 0.461], [0.500, 0.500, 0.242], [0.500, 0.500, 0.723]],
  "e_above_lowest_polymorph_mev_per_atom": 0
}

***

No. 14
{
  "formula": "Dy12In3Sn",
  "functional": "PBE-GGA",
  "state": "relaxed",
  "cell": [[4.830, 0.000, 0.000], [0.000, 4.830, 0.000], [0.000, 0.000, 19.331]],
  "species": ["Dy", "Dy", "Dy", "Dy", "Dy", "Dy", "Dy", "Dy", "Dy", "Dy", "Dy", "Dy", "In", "In", "In", "Sn"],
  "frac_coords": [[0.000, 0.000, 0.000], [0.000, 0.000, 0.249], [0.000, 0.000, 0.500], [0.000, 0.000, 0.751], [0.000, 0.500, 0.123], [0.000, 0.500, 0.374], [0.000, 0.500, 0.626], [0.000, 0.500, 0.877], [0.500, 0.000, 0.123], [0.500, 0.000, 0.374], [0.500, 0.000, 0.626], [0.500, 0.000, 0.877], [0.500, 0.500, 0.250], [0.500, 0.500, 0.500], [0.500, 0.500, 0.750], [0.500, 0.500, 0.000]]
}

***

No. 15
{
  "formula": "Dy2InSn2",
  "functional": "PBE-GGA",
  "state": "relaxed",
  "cell": [[7.838, 0.000, 0.000], [0.000, 7.838, 0.000], [0.000, 0.000, 4.408]],
  "species": ["Dy", "Dy", "Dy", "Dy", "In", "In", "Sn", "Sn", "Sn", "Sn"],
  "frac_coords": [[0.173, 0.327, 0.000], [0.327, 0.827, 0.000], [0.673, 0.173, 0.000], [0.827, 0.673, 0.000], [0.000, 0.000, 0.500], [0.500, 0.500, 0.500], [0.131, 0.631, 0.500], [0.369, 0.131, 0.500], [0.631, 0.869, 0.500], [0.869, 0.369, 0.500]]
}

***

No. 16
{
  "formula": "Dy7In4Sn",
  "functional": "PBE-GGA",
  "state": "relaxed",
  "cell": [[7.176, -2.865, 0.000], [7.176, 2.865, 0.000], [-6.818, 0.000, 8.823]],
  "species": ["Dy", "Dy", "Dy", "Dy", "Dy", "Dy", "Dy", "In", "In", "In", "In", "Sn"],
  "frac_coords": [[0.000, 0.000, 0.000], [0.160, 0.160, 0.595], [0.285, 0.285, 0.130], [0.431, 0.431, 0.679], [0.569, 0.569, 0.321], [0.715, 0.715, 0.870], [0.840, 0.840, 0.405], [0.062, 0.062, 0.772], [0.205, 0.205, 0.343], [0.795, 0.795, 0.657], [0.938, 0.938, 0.228], [0.500, 0.500, 0.000]]
}

***

No. 17
{
  "formula": "Dy4In2Sn",
  "functional": "PBE-GGA",
  "state": "relaxed",
  "cell": [[2.622, 1.514, 8.606], [-2.622, 1.514, 8.606], [0.000, -3.028, 8.606]],
  "species": ["Dy", "Dy", "Dy", "Dy", "In", "In", "Sn"],
  "frac_coords": [[0.121, 0.121, 0.121], [0.374, 0.374, 0.374], [0.626, 0.626, 0.626], [0.879, 0.879, 0.879], [0.255, 0.255, 0.255], [0.745, 0.745, 0.745], [0.500, 0.500, 0.500]]
}

***

No. 18
{
  "formula": "DyInSn",
  "functional": "PBE-GGA",
  "state": "relaxed",
  "cell": [[5.310, 0.000, 0.000], [-2.655, 4.599, 0.000], [0.000, 0.000, 6.747]],
  "species": ["Dy", "Dy", "In", "In", "Sn", "Sn"],
  "frac_coords": [[0.333, 0.667, 0.379], [0.667, 0.333, 0.621], [0.333, 0.667, 0.903], [0.667, 0.333, 0.097], [0.000, 0.000, 0.274], [0.000, 0.000, 0.726]],
  "e_above_lowest_polymorph_mev_per_atom": 129
}

***

No. 19
{
  "formula": "DyInSn",
  "functional": "PBE-GGA",
  "state": "relaxed",
  "cell": [[2.977, -4.259, 0.000], [2.977, 4.259, 0.000], [0.000, 0.000, 6.355]],
  "species": ["Dy", "Dy", "In", "In", "Sn", "Sn"],
  "frac_coords": [[0.176, 0.824, 0.750], [0.824, 0.176, 0.250], [0.186, 0.814, 0.250], [0.814, 0.186, 0.750], [0.500, 0.500, 0.000], [0.500, 0.500, 0.500]],
  "e_above_lowest_polymorph_mev_per_atom": 41
}

***

No. 20
{
  "formula": "DyIn2Sn",
  "functional": "PBE-GGA",
  "state": "relaxed",
  "cell": [[4.555, 0.000, 0.000], [0.000, 4.555, 0.000], [0.000, 0.000, 4.886]],
  "species": ["Dy", "In", "In", "Sn"],
  "frac_coords": [[0.000, 0.000, 0.000], [0.000, 0.500, 0.500], [0.500, 0.000, 0.500], [0.500, 0.500, 0.000]],
  "e_above_lowest_polymorph_mev_per_atom": 0
}

***

No. 21
{
  "formula": "DyInSn",
  "functional": "PBE-GGA",
  "state": "relaxed",
  "cell": [[1.752, -9.824, 0.000], [1.752, 9.824, 0.000], [0.000, 0.000, 4.659]],
  "species": ["Dy", "Dy", "In", "In", "Sn", "Sn"],
  "frac_coords": [[0.118, 0.882, 0.750], [0.882, 0.118, 0.250], [0.458, 0.542, 0.750], [0.542, 0.458, 0.250], [0.301, 0.699, 0.750], [0.699, 0.301, 0.250]],
  "e_above_lowest_polymorph_mev_per_atom": 6
}

***

No. 22
{
  "formula": "Dy2InSn4",
  "functional": "PBE-GGA",
  "state": "relaxed",
  "cell": [[4.416, 0.000, 0.000], [0.000, 4.416, 0.000], [0.000, 0.000, 9.940]],
  "species": ["Dy", "Dy", "In", "Sn", "Sn", "Sn", "Sn"],
  "frac_coords": [[0.000, 0.500, 0.248], [0.500, 0.000, 0.752], [0.000, 0.000, 0.500], [0.000, 0.000, 0.000], [0.000, 0.500, 0.698], [0.500, 0.000, 0.302], [0.500, 0.500, 0.000]],
  "e_above_lowest_polymorph_mev_per_atom": 21
}

***

No. 23
{
  "formula": "DyIn2Sn2",
  "functional": "PBE-GGA",
  "state": "relaxed",
  "cell": [[2.212, -13.230, 0.000], [2.212, 13.230, 0.000], [0.000, 0.000, 4.477]],
  "species": ["Dy", "Dy", "In", "In", "In", "In", "Sn", "Sn", "Sn", "Sn"],
  "frac_coords": [[0.155, 0.845, 0.750], [0.845, 0.155, 0.250], [0.053, 0.947, 0.250], [0.450, 0.550, 0.250], [0.550, 0.450, 0.750], [0.947, 0.053, 0.750], [0.250, 0.750, 0.250], [0.355, 0.645, 0.750], [0.645, 0.355, 0.250], [0.750, 0.250, 0.750]],
  "e_above_lowest_polymorph_mev_per_atom": 0
}

***

no.,DFT total energy (eV/cell),total moment (μB/f.u.),calculated formation energy (meV per atom)
1,-30.47,0.00,-21
2,-52.20,0.00,-352
3,-32.81,0.00,-450
4,-33.02,0.00,-459
5,-53.80,0.00,-50
6,-57.93,0.03,-41
7,-65.39,0.01,-42
8,-58.27,0.00,-40
9,-19.61,0.64,-271
10,-19.09,1.23,-143
11,-23.95,0.00,-286
12,-14.91,0.00,-393
13,-14.99,0.00,-415
14,-72.35,0.01,-307
15,-45.39,0.00,-550
16,-49.53,0.00,-196
17,-30.34,0.00,-350
18,-24.10,0.00,-235
19,-24.63,0.00,-323
20,-15.77,0.00,-421
21,-24.84,0.00,-358
22,-30.63,0.00,-382
23,-39.18,0.00,-301